Entry 1:
A relaxed Eu2SnBi crystal. Source: Alexandria, functional PBE-GGA.

## Properties
Space-group type: R-3m
Energy relative to the elements, meV/atom: -534
D(E_F), states/eV/atom: 4.48

Cell: 4.0647 4.0647 9.8506 Å, 78.09 78.09 60.00°
Fractional coordinates of all 4 atoms:
Sn 0.0000 0.0000 0.0000
Eu 0.7498 0.7498 0.7505
Eu 0.2502 0.2502 0.2495
Bi 0.5000 0.5000 0.5000

---

Entry 2:
A relaxed Pr2Sn3BiRh4 crystal. Source: Alexandria, functional PBE-GGA.

## Properties
Space-group type: P-4m2
Energy relative to the elements, meV/atom: -645
D(E_F), states/eV/atom: 0.55

Cell: 4.5262 4.5262 10.9367 Å, 90.00 90.00 90.00°
Fractional coordinates of all 10 atoms:
Sn 0.5000 0.0000 0.8734
Sn 0.0000 0.5000 0.1266
Sn 0.0000 0.0000 0.5000
Rh 0.5000 0.0000 0.6371
Rh 0.5000 0.5000 0.0000
Rh 0.0000 0.0000 0.0000
Rh 0.0000 0.5000 0.3629
Bi 0.5000 0.5000 0.5000
Pr 0.5000 0.0000 0.2441
Pr 0.0000 0.5000 0.7559

---

Entry 3:
A relaxed NiIrSCl2 crystal. Source: Alexandria, functional PBE-GGA.

## Properties
Space-group type: P4/mmm
D(E_F), states/eV/atom: 2.98
ΔE_f (raw), eV/atom: 0.644

Cell: 4.9928 4.9928 4.4105 Å, 90.00 90.00 90.00°
Fractional coordinates of all 5 atoms:
Cl 0.0000 0.5000 0.0000
Cl 0.5000 0.0000 0.0000
Ir 0.0000 0.0000 0.0000
Ni 0.5000 0.5000 0.5000
S 0.0000 0.0000 0.5000

---

Entry 4:
A relaxed Sm4DyAl4 crystal. Source: Alexandria, functional PBE-GGA.

## Properties
Space-group type: P4_2/n
Energy relative to the elements, meV/atom: -155
D(E_F), states/eV/atom: 0.89

Cell: 5.9828 8.8480 8.8480 Å, 90.00 90.00 90.00°
Fractional coordinates of all 18 atoms:
Sm 0.1224 0.9263 0.3295
Sm 0.8776 0.3295 0.0737
Sm 0.8776 0.6705 0.9263
Sm 0.6224 0.8295 0.5737
Sm 0.3776 0.4263 0.8295
Sm 0.1224 0.0737 0.6705
Sm 0.3776 0.5737 0.1705
Sm 0.6224 0.1705 0.4263
Al 0.1030 0.6899 0.5922
Al 0.6030 0.9078 0.1899
Al 0.6030 0.0922 0.8101
Al 0.8970 0.5922 0.3101
Al 0.3970 0.8101 0.9078
Al 0.1030 0.3101 0.4078
Al 0.8970 0.4078 0.6899
Al 0.3970 0.1899 0.0922
Dy 0.0000 0.0000 0.0000
Dy 0.5000 0.5000 0.5000